Entry 1:
Compound: YWN3
Source: the Alexandria database
Functional: GGA-PBEsol
Structure: relaxed

Calculated values
Raw formation energy, eV per atom: -1.113
Total energy, eV per cell: -103.552

Cell: 5.6834 3.6050 7.8896 Å, 90.00 107.79 90.00°
Space group P2_1/m (No. 11)
Unique sites:
Y  0.2046  0.2500  0.4026 [2 per cell]
W  0.3824  0.2500  0.8202 [2 per cell]
N  0.0700  0.2500  0.6529 [2 per cell]
N  0.3617  0.7500  0.9123 [2 per cell]
N  0.4396  0.7500  0.3385 [2 per cell]

Entry 2:
Compound: Y8Cd
Source: the Alexandria database
Functional: GGA-PBEsol
Structure: relaxed

Calculated values
DFT formation energy, meV per atom: -17
DOS(E_F), states/eV per cell: 29.0
Total energy, eV per cell: -111.863

Cell: 10.3934 10.3934 4.8765 Å, 90.00 90.00 90.00°
Space group I4/mmm (No. 139)
Unique sites:
Y  0.0000  0.3324  0.0000 [8 per cell]
Y  0.1627  0.1627  0.5000 [8 per cell]
Cd  0.0000  0.0000  0.0000 [2 per cell]

Entry 3:
Compound: ZnAsRh2
Source: the Alexandria database
Functional: GGA-PBEsol
Structure: relaxed

Calculated values
DFT formation energy, meV per atom: -40
DOS(E_F), states/eV per cell: 9.2
Total energy, eV per cell: -69.376
Excess energy over the best structure of this formula in the dataset, meV per atom: 249

Cell: 2.8581 2.8581 24.5854 Å, 90.00 90.00 120.00°
Space group R3m (No. 160, hexagonal axes)
Unique sites:
Zn  0.0000  0.0000  0.0000 [3 per cell]
As  0.0000  0.0000  0.2415 [3 per cell]
Rh  0.0000  0.0000  0.5003 [3 per cell]
Rh  0.0000  0.0000  0.7452 [3 per cell]